1.
NbCS3: relaxed, PBE.

Symmetry ... No. 221
Total energy ... -5.155 eV/atom

```
NbCS3
1.0
4.794 0.000 0.000
0.000 4.794 0.000
0.000 0.000 4.794
S Nb C
3 1 1
Cartesian
2.397 0.000 0.000
0.000 0.000 2.397
0.000 2.397 0.000
0.000 0.000 0.000
2.397 2.397 2.397
```

2.
NbCS2: relaxed, PBE.

Symmetry ... No. 166
Total energy ... -6.564 eV/atom

```
NbCS2
1.0
1.911 0.000 6.495
-0.955 1.655 6.495
-0.955 -1.655 6.495
S C Nb
2 1 1
Cartesian
0.000 0.000 17.890
0.000 0.000 1.596
0.000 0.000 0.000
0.000 0.000 9.743
```

3.
Nb3CS3: relaxed, PBE.

Symmetry ... No. 11
Total energy ... -8.312 eV/atom

```
Nb3CS3
1.0
-0.771 1.236 2.992
-1.368 -6.570 2.362
9.345 -0.849 2.759
Nb S C
6 6 2
Cartesian
7.094 -0.652 4.873
4.296 -6.194 4.591
0.112 -5.531 3.239
1.936 -3.851 4.866
5.271 -2.332 3.247
2.910 0.010 3.521
7.486 -2.952 4.074
0.401 -0.006 2.881
6.805 -6.178 5.231
4.419 -3.668 5.430
-0.280 -3.231 4.038
2.788 -2.515 2.682
4.986 -0.359 4.209
2.220 -5.824 3.903
```

4.
Nb4CS: relaxed, PBE.

Symmetry ... No. 109
Total energy ... -9.234 eV/atom

```
Nb4CS
1.0
6.375 -0.146 0.000
-2.708 5.774 0.000
-1.834 -2.814 5.421
Nb C S
8 2 2
Cartesian
0.959 -0.461 1.055
-0.457 2.149 1.557
-2.390 3.409 3.864
3.732 -2.269 4.365
4.147 -0.534 1.655
2.378 0.618 3.766
-1.037 0.522 4.267
2.730 2.077 1.154
-2.246 1.517 2.710
0.941 1.444 0.000
-0.471 4.242 2.710
2.717 4.169 0.000
```

The following formation energy from raw total energies values (in eV/atom) correspond, in order, to the records above: 1.1803; 0.3226; -0.9098; -0.2961.